# BaGdCo2O5

BaGdCo2O5 after structural relaxation (PBE with a Hubbard U, OQMD via LeMat-Bulk).

Computed properties:
Energy, eV per atom: -6.66
Magnetic moment, Bohr magnetons per cell: 5.79

Cell lengths 3.884, 3.885, 7.596 Å; angles 90.00, 90.00, 90.00 degrees
Fractional positions:
1 Co 0.000 0.000 0.263
2 Co 0.000 0.000 0.737
3 Gd 0.500 0.500 0.500
4 O 0.000 0.000 0.000
5 O 0.000 0.500 0.688
6 O 0.500 0.000 0.312
7 O 0.000 0.500 0.312
8 O 0.500 0.000 0.688
9 Ba 0.500 0.500 0.000